Th8Bi2Sb3: relaxed, PBE-GGA.

Properties
As for the symmetry: No. 12. The final energy is -6.354 eV per atom.

a b c (Å): 6.745 9.219 8.522
angles (deg): 122.75 94.31 90.00
Fractional positions:
Sb  0.000  0.803  0.000
Sb  0.500  0.000  0.000
Sb  0.000  0.197  0.000
Bi  0.648  0.775  0.550
Bi  0.352  0.225  0.450
Th  0.611  0.190  0.773
Th  0.389  0.810  0.227
Th  0.889  0.593  0.186
Th  0.389  0.417  0.227
Th  0.842  0.161  0.322
Th  0.158  0.839  0.678
Th  0.111  0.407  0.814
Th  0.611  0.583  0.773